--- w ---
The following is a GGA-PBE calculation of CsHf2Mo after structural relaxation, from Alexandria.

POSCAR file:
```
CsHf2Mo
1.0
0.000 3.573 3.573
3.573 0.000 3.573
3.573 3.573 0.000
Cs Hf Mo
1 2 1
direct
0.000 0.000 0.000 Cs
0.250 0.250 0.250 Hf
0.750 0.750 0.750 Hf
0.500 0.500 0.500 Mo
```

Results
density of states at the Fermi level = 1.22 states/eV/atom
V = 91.3 Å³/cell

---

--- x ---
The following is a GGA-PBE calculation of CsHf2Mo after structural relaxation, from Alexandria.

POSCAR file:
```
CsHf2Mo
1.0
-3.948 3.948 5.651
3.948 -3.948 5.651
3.948 3.948 -5.651
Cs Hf Mo
2 4 2
direct
0.375 0.625 0.750 Cs
0.625 0.375 0.250 Cs
0.000 0.000 0.000 Hf
0.000 0.000 0.500 Hf
0.000 0.500 0.000 Hf
0.500 0.000 0.500 Hf
0.125 0.875 0.250 Mo
0.875 0.125 0.750 Mo
```

Results
density of states at the Fermi level = 1.21 states/eV/atom
V = 352.3 Å³/cell

---

If we sort the structures by their calculated energies, the order from most to least stable is w, x.

---

--- w ---
The following is a GGA-PBE calculation of CsHfSN2 after structural relaxation, from Alexandria.

POSCAR file:
```
CsHfSN2
1.0
4.181 0.000 0.000
0.000 4.181 0.000
0.000 0.000 5.851
Cs Hf S N
1 1 1 2
direct
0.000 0.000 0.000 Cs
0.500 0.500 0.500 Hf
0.000 0.000 0.500 S
0.000 0.500 0.000 N
0.500 0.000 0.000 N
```

Results
density of states at the Fermi level = 0.69 states/eV/atom
V = 102.3 Å³/cell

---

--- x ---
The following is a GGA-PBE calculation of CsHfSN2 after structural relaxation, from Alexandria.

POSCAR file:
```
CsHfSN2
1.0
4.510 0.000 0.000
0.000 4.510 0.000
0.000 0.000 5.059
Cs Hf S N
1 1 1 2
direct
0.000 0.000 0.000 Cs
0.500 0.500 0.500 Hf
0.500 0.500 0.000 S
0.000 0.500 0.500 N
0.500 0.000 0.500 N
```

Results
density of states at the Fermi level = 0.19 states/eV/atom
V = 102.9 Å³/cell

---

If we sort the structures by their calculated energies, the order from most to least stable is x, w.

---

--- w ---
The following is a GGA-PBE calculation of Cs2NaHfPb after structural relaxation, from Alexandria.

POSCAR file:
```
Cs2NaHfPb
1.0
6.174 0.000 0.000
0.000 6.174 0.000
0.000 0.000 6.138
Cs Na Hf Pb
2 1 1 1
direct
0.000 0.500 0.000 Cs
0.500 0.000 0.000 Cs
0.000 0.000 0.000 Na
0.000 0.000 0.500 Hf
0.500 0.500 0.500 Pb
```

Results
density of states at the Fermi level = 0.89 states/eV/atom
V = 234.0 Å³/cell

---

--- x ---
The following is a GGA-PBE calculation of Cs2NaHfPb after structural relaxation, from Alexandria.

POSCAR file:
```
Cs2NaHfPb
1.0
7.607 0.000 0.000
0.000 7.607 0.000
0.000 0.000 5.598
Cs Na Hf Pb
2 1 1 1
direct
0.000 0.500 0.000 Cs
0.500 0.000 0.000 Cs
0.000 0.000 0.500 Na
0.500 0.500 0.500 Hf
0.500 0.500 0.000 Pb
```

Results
density of states at the Fermi level = 1.28 states/eV/atom
V = 324.0 Å³/cell

---

If we sort the structures by their calculated energies, the order from most to least stable is x, w.